1.
! MoAs2H | Alexandria | PBE | relaxed; values from VASP
&SYSTEM
  ibrav = 0, nat = 4, ntyp = 3
/
ATOMIC_SPECIES
H 1.01 H.upf
Mo 95.94 Mo.upf
As 74.92 As.upf
CELL_PARAMETERS angstrom
0.000 3.081 3.081
3.081 0.000 3.081
3.081 3.081 0.000
ATOMIC_POSITIONS crystal
H 0.000 0.000 0.000
Mo 0.500 0.500 0.500
As 0.250 0.250 0.250
As 0.750 0.750 0.750
! VASP energy (eV/cell): -20.898
! Energy relative to the lowest polymorph listed for this composition (meV/atom): 201
! Space group: No. 225

=====

2.
! Ni2MoAsH | Alexandria | PBE | relaxed; values from VASP
&SYSTEM
  ibrav = 0, nat = 5, ntyp = 4
/
ATOMIC_SPECIES
Ni 58.69 Ni.upf
Mo 95.94 Mo.upf
As 74.92 As.upf
H 1.01 H.upf
CELL_PARAMETERS angstrom
-0.843 1.599 -3.217
1.756 -2.699 -1.802
-3.407 -2.113 -0.157
ATOMIC_POSITIONS crystal
Ni 0.000 0.500 0.000
Ni 0.500 0.000 0.000
Mo 0.000 0.000 0.500
As 0.500 0.500 0.500
H 0.000 0.000 0.000
! VASP energy (eV/cell): -30.455
! Space group: No. 123

=====

Mass density values (in g cm⁻³) by entry order: 7.006; 8.793.